DFT (PBE-GGA) results for a geometry-optimized Tb3PmPr3 structure.

a = 8.9972 Å, b = 8.9972 Å, c = 8.9972 Å
α = 58.61°, β = 58.61°, γ = 58.61°
With the nearest neighbours (Å) after each atom.
Fractional coordinates of all 14 atoms:
Tb 0.0627 0.2860 0.8255  4 Tb 3.29-3.51, 4 Pr 3.36-3.66, 1 Pm 3.61
Tb 0.1745 0.9373 0.7140  4 Tb 3.29-3.51, 4 Pr 3.36-3.66, 1 Pm 3.61
Tb 0.2860 0.8255 0.0627  4 Tb 3.29-3.51, 4 Pr 3.36-3.66, 1 Pm 3.61
Tb 0.7140 0.1745 0.9373  4 Tb 3.29-3.51, 4 Pr 3.36-3.66, 1 Pm 3.61
Tb 0.8255 0.0627 0.2860  4 Tb 3.29-3.51, 4 Pr 3.36-3.66, 1 Pm 3.61
Tb 0.9373 0.7140 0.1745  4 Tb 3.29-3.51, 4 Pr 3.36-3.66, 1 Pm 3.61
Pm 0.3445 0.3445 0.3445  6 Tb 3.61-3.83, 6 Pr 3.68-3.82
Pm 0.6555 0.6555 0.6555  6 Tb 3.61-3.83, 6 Pr 3.68-3.82
Pr 0.0710 0.7186 0.5652  4 Tb 3.36-3.66, 2 Pr 3.68, 1 Pm 3.68
Pr 0.2814 0.4348 0.9290  4 Tb 3.36-3.66, 2 Pr 3.68, 1 Pm 3.68
Pr 0.4348 0.9290 0.2814  4 Tb 3.36-3.66, 2 Pr 3.68, 1 Pm 3.68
Pr 0.5652 0.0710 0.7186  4 Tb 3.36-3.66, 2 Pr 3.68, 1 Pm 3.68
Pr 0.7186 0.5652 0.0710  4 Tb 3.36-3.66, 2 Pr 3.68, 1 Pm 3.68
Pr 0.9290 0.2814 0.4348  4 Tb 3.36-3.66, 2 Pr 3.68, 1 Pm 3.68

Output
Energy above the most stable polymorph in this dataset = 167 meV per atom
Calculated formation energy = 0.195 eV per atom
D(E_F) = 20.67 states/eV per cell
Magnetic moment = 0.00 μB per formula unit

***

DFT (PBE-GGA) results for a geometry-optimized Th2AlCu9 structure.

a = 8.9224 Å, b = 8.9224 Å, c = 8.9224 Å
α = 33.30°, β = 33.30°, γ = 33.30°
With the nearest neighbours (Å) after each atom.
Fractional coordinates of all 12 atoms:
Th 0.1374 0.1374 0.1374  12 Cu 2.95-3.29, 3 Th 3.30
Th 0.8626 0.8626 0.8626  12 Cu 2.95-3.29, 3 Th 3.30
Al 0.0000 0.0000 0.0000  18 Cu 2.95-3.25
Cu 0.0786 0.5797 0.5797  7 Cu 2.48-2.66
Cu 0.3330 0.3330 0.3330  6 Cu 2.48-2.50
Cu 0.4203 0.4203 0.9214  7 Cu 2.48-2.66
Cu 0.4203 0.9214 0.4203  7 Cu 2.48-2.66
Cu 0.5000 0.5000 0.5000  6 Cu 2.66
Cu 0.5797 0.0786 0.5797  7 Cu 2.48-2.66
Cu 0.5797 0.5797 0.0786  7 Cu 2.48-2.66
Cu 0.6670 0.6670 0.6670  6 Cu 2.48-2.50
Cu 0.9214 0.4203 0.4203  7 Cu 2.48-2.66

Output
Calculated formation energy = -0.018 eV per atom
D(E_F) = 4.10 states/eV per cell
Magnetic moment = 0.00 μB per formula unit

***

DFT (PBE-GGA) results for a geometry-optimized La6TmMg structure.

a = 6.3681 Å, b = 6.3681 Å, c = 10.2512 Å
α = 113.89°, β = 113.89°, γ = 47.42°
With the nearest neighbours (Å) after each atom.
Fractional coordinates of all 8 atoms:
La 0.0033 0.0033 0.2534  2 Tm 3.61, 2 Mg 3.64, 8 La 3.64-3.74
La 0.2500 0.2500 0.6292  1 Mg 3.63, 8 La 3.64-3.68, 3 Tm 3.66-3.70
La 0.2543 0.2543 0.1204  8 La 3.53-3.74, 3 Mg 3.59-3.69, 1 Tm 3.67
La 0.7457 0.7457 0.8796  8 La 3.53-3.74, 3 Mg 3.59-3.69, 1 Tm 3.67
La 0.7500 0.7500 0.3708  1 Mg 3.63, 8 La 3.64-3.68, 3 Tm 3.66-3.70
La 0.9967 0.9967 0.7466  2 Tm 3.61, 2 Mg 3.64, 8 La 3.64-3.74
Tm 0.5000 0.5000 0.5000  12 La 3.61-3.70
Mg 0.5000 0.5000 0.0000  12 La 3.59-3.69

Output
Energy above the most stable polymorph in this dataset = 8 meV per atom
Calculated formation energy = -0.003 eV per atom
D(E_F) = 12.19 states/eV per cell
Magnetic moment = 0.00 μB per formula unit

***

DFT (PBE-GGA) results for a geometry-optimized Sc2BeMo structure.

a = 4.2146 Å, b = 4.2146 Å, c = 3.8724 Å
α = 90.00°, β = 90.00°, γ = 90.00°
With the nearest neighbours (Å) after each atom.
Fractional coordinates of all 4 atoms:
Sc 0.0000 0.5000 0.0000  4 Mo 2.86, 4 Be 2.86, 4 Sc 2.98
Sc 0.5000 0.0000 0.0000  4 Mo 2.86, 4 Be 2.86, 4 Sc 2.98
Be 0.0000 0.0000 0.5000  8 Sc 2.86, 4 Mo 2.98
Mo 0.5000 0.5000 0.5000  8 Sc 2.86, 4 Be 2.98

Output
Calculated formation energy = 0.164 eV per atom
D(E_F) = 3.33 states/eV per cell
Magnetic moment = 0.00 μB per formula unit

***

DFT (PBE-GGA) results for a geometry-optimized CsYGaTe3 structure.

a = 10.2228 Å, b = 4.5563 Å, c = 11.0552 Å
α = 90.00°, β = 108.40°, γ = 90.00°
With the nearest neighbours (Å) after each atom.
Fractional coordinates of all 12 atoms:
Cs 0.2037 0.2500 0.2480  7 Te 3.85-4.16, 2 Ga 4.27
Cs 0.7963 0.7500 0.7520  7 Te 3.85-4.16, 2 Ga 4.27
Y 0.3433 0.7500 0.8727  6 Te 3.04-3.24
Y 0.6567 0.2500 0.1273  6 Te 3.04-3.24
Ga 0.0752 0.2500 0.6165  4 Te 2.73-2.97
Ga 0.9248 0.7500 0.3835  4 Te 2.73-2.97
Te 0.1332 0.2500 0.8755  1 Ga 2.73
Te 0.2102 0.7500 0.5652  3 Ga 2.81-2.97
Te 0.4649 0.7500 0.1619  3 Y 3.04-3.11
Te 0.5351 0.2500 0.8381  3 Y 3.04-3.11
Te 0.7898 0.2500 0.4348  3 Ga 2.81-2.97
Te 0.8668 0.7500 0.1245  1 Ga 2.73

Output
Formation energy without anion corrections = -0.9879 eV per atom
D(E_F) = 2.92 states/eV per cell
Magnetic moment = 0.00 μB per formula unit

***

DFT (PBE-GGA) results for a geometry-optimized Pm4Sm4Y5 structure.

a = 9.5698 Å, b = 9.5698 Å, c = 9.5698 Å
α = 94.07°, β = 94.07°, γ = 149.11°
With the nearest neighbours (Å) after each atom.
Fractional coordinates of all 13 atoms:
Pm 0.0777 0.3841 0.4618  4 Sm 3.60-3.63, 3 Y 3.62-3.63, 5 Pm 3.62-3.64
Pm 0.3841 0.9223 0.3064  4 Sm 3.60-3.63, 3 Y 3.62-3.63, 5 Pm 3.62-3.64
Pm 0.6159 0.0777 0.6936  4 Sm 3.60-3.63, 3 Y 3.62-3.63, 5 Pm 3.62-3.64
Pm 0.9223 0.6159 0.5382  4 Sm 3.60-3.63, 3 Y 3.62-3.63, 5 Pm 3.62-3.64
Sm 0.1539 0.7697 0.9235  4 Pm 3.60-3.63, 6 Y 3.61-3.63, 2 Sm 3.61
Sm 0.2303 0.1539 0.3842  4 Pm 3.60-3.63, 6 Y 3.61-3.63, 2 Sm 3.61
Sm 0.7697 0.8461 0.6158  4 Pm 3.60-3.63, 6 Y 3.61-3.63, 2 Sm 3.61
Sm 0.8461 0.2303 0.0765  4 Pm 3.60-3.63, 6 Y 3.61-3.63, 2 Sm 3.61
Y 0.0000 0.0000 0.0000  8 Y 3.60, 4 Sm 3.61
Y 0.3089 0.5382 0.8472  4 Y 3.60, 5 Sm 3.61-3.63, 3 Pm 3.62-3.63
Y 0.4618 0.3089 0.7707  4 Y 3.60, 5 Sm 3.61-3.63, 3 Pm 3.62-3.63
Y 0.5382 0.6911 0.2293  4 Y 3.60, 5 Sm 3.61-3.63, 3 Pm 3.62-3.63
Y 0.6911 0.4618 0.1528  4 Y 3.60, 5 Sm 3.61-3.63, 3 Pm 3.62-3.63

Output
Calculated formation energy = 0.014 eV per atom
D(E_F) = 18.67 states/eV per cell
Magnetic moment = 0.00 μB per formula unit

***

DFT (PBE-GGA) results for a geometry-optimized TbPmSi structure.

a = 4.9288 Å, b = 4.9288 Å, c = 4.9288 Å
α = 60.00°, β = 60.00°, γ = 60.00°
With the nearest neighbours (Å) after each atom.
Fractional coordinates of all 3 atoms:
Tb 0.0000 0.0000 0.0000  4 Si 3.02
Pm 0.5000 0.5000 0.5000  4 Si 3.02
Si 0.2500 0.2500 0.2500  4 Pm 3.02, 4 Tb 3.02

Output
Energy above the most stable polymorph in this dataset = 50 meV per atom
Formation energy without anion corrections = -0.4574 eV per atom
D(E_F) = 2.42 states/eV per cell
Magnetic moment = 0.00 μB per formula unit

***

DFT (PBE-GGA) results for a geometry-optimized Tm2PuBiO8 structure.

a = 5.0813 Å, b = 5.0813 Å, c = 6.9791 Å
α = 90.00°, β = 90.00°, γ = 90.78°
With the nearest neighbours (Å) after each atom.
Fractional coordinates of all 12 atoms:
Tm 0.0000 0.0000 0.2432  6 O 2.15-2.37
Tm 0.0000 0.0000 0.7568  6 O 2.15-2.37
Pu 0.5000 0.5000 0.5000  6 O 2.02-2.04
Bi 0.5000 0.5000 0.0000  6 O 2.25-2.40
O 0.1841 0.1841 0.0000  2 Tm 2.15, 1 Bi 2.25
O 0.2166 0.2166 0.5000  1 Pu 2.02
O 0.3107 0.6893 0.2829  1 Pu 2.04, 1 Tm 2.26
O 0.3107 0.6893 0.7171  1 Pu 2.04, 1 Tm 2.26
O 0.6893 0.3107 0.2829  1 Pu 2.04, 1 Tm 2.26
O 0.6893 0.3107 0.7171  1 Pu 2.04, 1 Tm 2.26
O 0.7834 0.7834 0.5000  1 Pu 2.02
O 0.8159 0.8159 0.0000  2 Tm 2.15, 1 Bi 2.25

Output
Formation energy without anion corrections = -2.6293 eV per atom
D(E_F) = 0.73 states/eV per cell
Magnetic moment = 0.98 μB per formula unit

***

- Look up the magnetic moment of the eighth one.
  0.98 μB per formula unit

***

- Which of these has the highest D(E_F)?
  Tb3PmPr3